The following is a GGA+U calculation of a geometry-optimized TlHg2WF6 structure, from Alexandria.

Properties
E_tot: -41.43 eV per cell
Space group: No. 2

Cell: 6.3873 7.7206 7.0142 Å, 56.25 62.65 89.86°
With the nearest neighbours (Å) after each atom.
Element x y z (fractional)
F1 0.7207 0.6723 0.9987  1 W 1.93
F2 0.2793 0.3277 0.0013  1 W 1.93
F3 0.7207 0.3278 0.9997  1 W 1.94
F4 0.2975 0.2967 0.4040  1 W 1.97
F5 0.2793 0.6722 0.0003  1 W 1.94
F6 0.7025 0.7033 0.5960  1 W 1.97
Hg1 0.6936 0.1965 0.6105  10 F 3.35-3.73, 2 Tl 3.70-3.73
Hg2 0.3064 0.8035 0.3895  10 F 3.35-3.73, 2 Tl 3.70-3.73
W1 0.5000 0.5000 0.0000  6 F 1.93-1.97
Tl1 0.0000 0.0000 0.0000  6 F 2.90-3.11